# DyTmPt PBE relaxed
data_DyTmPt
_cell_length_a 6.103
_cell_length_b 4.085
_cell_length_c 4.085
_cell_angle_alpha 120.00
_cell_angle_beta 90.00
_cell_angle_gamma 90.00
_space_group_name_H-M_alt 'P 1'
_space_group_IT_number 1
_space_group_name_Hall 'P 1'
loop_
_atom_site_label
_atom_site_type_symbol
_atom_site_fract_x
_atom_site_fract_y
_atom_site_fract_z
_atom_site_occupancy
Dy1 Dy 0.578 0.667 0.333 1
Tm1 Tm 0.093 0.000 0.000 1
Pt1 Pt 0.329 0.333 0.667 1
# Excess energy over the best structure of this formula in the dataset ... 122 meV per atom
# D(E_F) ... 1.77 states/eV/f.u.
# Space group ... P3m1
# Energy ... -17.45 eV/cell
# Calculated density ... 9.91 Mg/m³
# DFT formation energy ... -2.3 eV/f.u.